Ce4DyTe5: optimized geometry, PBE.

## Properties
ΔE_f (raw) ... -1345 meV per atom
Density ... 7.20 g/cm3
V ... 31.393 Å³/atom

a = 4.4652 Å, b = 4.4652 Å, c = 31.4907 Å
α = 90.00°, β = 90.00°, γ = 90.00°
With the nearest neighbours (Å) after each atom.
Space group I4/mmm (No. 139)
Asymmetric unit:
Ce1 0.0000 0.0000 0.1005  6 Te 3.16-3.17
Ce2 0.0000 0.0000 0.3016  6 Te 3.16-3.18
Dy1 0.0000 0.0000 0.5000  6 Te 3.07-3.16
Te1 0.0000 0.0000 0.0000  4 Dy 3.16, 2 Ce 3.17
Te2 0.0000 0.0000 0.2008  6 Ce 3.16-3.17
Te3 0.0000 0.0000 0.4026  1 Dy 3.07, 5 Ce 3.16-3.18